1.
## CaTl3Si (GGA-PBE)

Data for an optimized crystal structure of CaTl3Si.

a b c (Å): 5.426 5.426 5.426
angles (deg): 90.00 90.00 90.00
Element x y z (fractional)
1 Tl 0.500 0.000 0.000
2 Tl 0.000 0.000 0.500
3 Tl 0.000 0.500 0.000
4 Si 0.000 0.000 0.000
5 Ca 0.500 0.500 0.500

Summary:
E_tot ... -13.43 eV per cell
DOS(E_F) ... 2.89 states/eV per cell
Formation energy from raw total energies ... 0.22 eV/atom
Total moment ... 0.0 μB/f.u.
Energy relative to the lowest polymorph listed for this composition ... 0.0000 eV/atom

=====

2.
## Zr2Co2As (GGA-PBE)

Data for an optimized crystal structure of Zr2Co2As.

a b c (Å): 6.746 6.746 3.523
angles (deg): 90.00 90.00 90.00
Element x y z (fractional)
1 Co 0.627 0.127 0.000
2 Co 0.373 0.873 0.000
3 Co 0.873 0.627 0.000
4 Co 0.127 0.373 0.000
5 Zr 0.323 0.177 0.500
6 Zr 0.677 0.823 0.500
7 Zr 0.177 0.677 0.500
8 Zr 0.823 0.323 0.500
9 As 0.500 0.500 0.000
10 As 0.000 0.000 0.000

Summary:
E_tot ... -76.17 eV per cell
DOS(E_F) ... 12.31 states/eV per cell
Total moment ... 0.0 μB/f.u.
Energy of formation from the pure elements ... -0.425 eV/atom

=====

3.
## Ba2HgSbSe5 (GGA-PBE)

Data for an optimized crystal structure of Ba2HgSbSe5.

a b c (Å): 4.354 10.197 12.785
angles (deg): 90.00 90.00 102.33
Element x y z (fractional)
1 Sb 0.779 0.558 0.515
2 Sb 0.221 0.442 0.015
3 Ba 0.114 0.228 0.699
4 Ba 0.123 0.246 0.311
5 Ba 0.886 0.772 0.199
6 Ba 0.877 0.754 0.811
7 Se 0.712 0.424 0.864
8 Se 0.498 0.995 0.761
9 Se 0.288 0.576 0.364
10 Se 0.358 0.716 0.007
11 Se 0.642 0.284 0.507
12 Se 0.277 0.555 0.663
13 Se 0.723 0.445 0.163
14 Se 0.502 0.005 0.261
15 Se 0.076 0.153 0.055
16 Se 0.924 0.847 0.555
17 Hg 0.453 0.905 0.447
18 Hg 0.547 0.095 0.947

Summary:
E_tot ... -69.48 eV per cell
DOS(E_F) ... 8.12 states/eV per cell
Formation energy from raw total energies ... -1.01 eV/atom
Total moment ... 0.0 μB/f.u.

=====

4.
## LaYAg2 (GGA-PBE)

Data for an optimized crystal structure of LaYAg2.

a b c (Å): 8.744 8.744 8.744
angles (deg): 26.12 26.12 26.12
Element x y z (fractional)
1 Ag 0.496 0.496 0.496
2 Ag 0.004 0.004 0.004
3 Y 0.750 0.750 0.750
4 La 0.250 0.250 0.250

Summary:
E_tot ... -17.39 eV per cell
DOS(E_F) ... 3.18 states/eV per cell
Total moment ... 0.0 μB/f.u.
Energy of formation from the pure elements ... -0.075 eV/atom